(1)
Computed, not measured: BaPmAs after structural relaxation at the PBE level of DFT.

a b c (Å): 14.831 4.344 7.528
angles (deg): 90.00 90.00 90.00
Space group Amm2 (No. 38)
Unique sites:
Ba1 0.131 0.000 0.000 [4 per cell]
Pm1 0.386 0.000 0.671 [4 per cell]
As1 0.000 0.000 0.667 [2 per cell]
As2 0.500 0.000 0.004 [2 per cell]

Properties
Energy of formation   -0.6066 eV/atom
Total energy   -4.381 eV per atom
Relative energy among the computed polymorphs   180 meV per atom
Crystal system   orthorhombic

(2)
Computed, not measured: NaB2PO6 after structural relaxation at the PBE level of DFT.

a b c (Å): 8.908 9.946 4.801
angles (deg): 90.00 113.85 90.00
Space group C2/c (No. 15)
Unique sites:
Na1 0.000 0.111 0.250 [4 per cell]
B1 0.248 0.430 0.140 [8 per cell]
P1 0.000 0.283 0.750 [4 per cell]
O1 0.082 0.370 0.041 [8 per cell]
O2 0.132 0.195 0.705 [8 per cell]
O3 0.212 0.025 0.112 [8 per cell]

Properties
Total energy   -7.206 eV per atom
Formation energy without anion corrections   -22.2 eV per formula unit
Crystal system   monoclinic

(3)
Computed, not measured: ZrCrSe2 after structural relaxation at the PBE level of DFT.

a b c (Å): 3.775 3.775 11.183
angles (deg): 90.00 90.00 90.00
Space group I-4m2 (No. 119)
Unique sites:
Zr1 0.000 0.000 0.000 [2 per cell]
Cr1 0.000 0.500 0.750 [2 per cell]
Se1 0.000 0.000 0.500 [2 per cell]
Se2 0.000 0.500 0.250 [2 per cell]

Properties
Total energy   -6.668 eV per atom
Formation energy without anion corrections   -1.5 eV per formula unit
Relative energy among the computed polymorphs   406 meV per atom
Crystal system   tetragonal

(4)
Computed, not measured: LiSn3Hg after structural relaxation at the PBE level of DFT.

a b c (Å): 9.291 8.762 6.831
angles (deg): 90.00 110.37 90.00
Space group C2/m (No. 12)
Unique sites:
Li1 0.096 0.000 0.355 [4 per cell]
Sn1 0.077 0.500 0.260 [4 per cell]
Sn2 0.163 0.261 0.666 [8 per cell]
Hg1 0.172 0.000 0.994 [4 per cell]

Properties
Energy of formation   -0.0692 eV/atom
Total energy   -2.914 eV per atom
Relative energy among the computed polymorphs   17 meV per atom
Crystal system   monoclinic

Question: Which formula does entry 4 have?
Answer: LiSn3Hg